Material: AlAsOs2
Method: DFT, PBE-GGA
State: relaxed

Its raw total energy is -7.59 eV/atom. As for the calculated formation energy: 0.1205 eV per atom. Its total moment is 0.0 μB/f.u. The energy above the lowest structure with this stoichiometry is 0.162 eV/atom. The density of states at the Fermi level is 2.16 states/eV/f.u.

Cell lengths 2.9641, 3.8761, 10.6540 Å; angles 90.00, 90.00, 90.00 degrees
Closest atoms and distances in Å follow each position.
Space group Imm2 (No. 44)
Asymmetric unit:
Al  0.0000  0.0000  0.0000  6 Os 2.55-2.64
As  0.0000  0.5000  0.7447  6 Os 2.48-2.57
Os  0.0000  0.0000  0.4318  2 As 2.48, 4 Al 2.55
Os  0.0000  0.5000  0.1681  4 As 2.57, 2 Al 2.64